Below is an optimized crystal structure of ZnAgS3, with properties calculated at the GGA-PBE level.

Lattice parameters (Å, degrees): 4.8192 4.8192 4.8192 90.00 90.00 90.00
Last column: nearest neighbours and their distance in Å.
Sites, in units of the cell vectors:
Zn  0.0000  0.0000  0.0000  12 S 3.41
Ag  0.5000  0.5000  0.5000  6 S 2.41
S  0.0000  0.5000  0.5000  2 Ag 2.41
S  0.5000  0.0000  0.5000  2 Ag 2.41
S  0.5000  0.5000  0.0000  2 Ag 2.41

Output
energy above the most stable polymorph in this dataset = 0.246 eV/atom
E = -2.469 eV/atom
E_form (uncorrected) = 80.3 kJ/mol of atoms



Below is an optimized crystal structure of ZnAg2S2, with properties calculated at the GGA-PBE level.

Lattice parameters (Å, degrees): 7.1894 7.1894 3.5364 90.00 90.00 90.00
Last column: nearest neighbours and their distance in Å.
Sites, in units of the cell vectors:
Zn  0.0000  0.0000  0.0000  4 Ag 2.79
Zn  0.5000  0.5000  0.0000  4 Ag 2.79
Ag  0.1374  0.3626  0.0000  6 S 2.61-2.87, 2 Zn 2.79, 1 Ag 2.79
Ag  0.3626  0.8626  0.0000  6 S 2.61-2.87, 2 Zn 2.79, 1 Ag 2.79
Ag  0.6374  0.1374  0.0000  6 S 2.61-2.87, 2 Zn 2.79, 1 Ag 2.79
Ag  0.8626  0.6374  0.0000  6 S 2.61-2.87, 2 Zn 2.79, 1 Ag 2.79
S  0.1742  0.6742  0.5000  6 Ag 2.61-2.87
S  0.3258  0.1742  0.5000  6 Ag 2.61-2.87
S  0.6742  0.8258  0.5000  6 Ag 2.61-2.87
S  0.8258  0.3258  0.5000  6 Ag 2.61-2.87

Output
E = -2.807 eV/atom
E_form (uncorrected) = 23.1 kJ/mol of atoms



Below is an optimized crystal structure of ZnAg3S, with properties calculated at the GGA-PBE level.

Lattice parameters (Å, degrees): 4.8311 4.8311 4.8311 90.00 90.00 90.00
Last column: nearest neighbours and their distance in Å.
Sites, in units of the cell vectors:
Zn  0.0000  0.0000  0.0000  6 Ag 2.42
Ag  0.0000  0.0000  0.5000  2 Zn 2.42
Ag  0.0000  0.5000  0.0000  2 Zn 2.42
Ag  0.5000  0.0000  0.0000  2 Zn 2.42
S  0.5000  0.5000  0.5000  12 Ag 3.42

Output
energy above the most stable polymorph in this dataset = 0.305 eV/atom
E = -2.133 eV/atom
E_form (uncorrected) = 63.5 kJ/mol of atoms



Below is an optimized crystal structure of ZnAgS3, with properties calculated at the GGA-PBE level.

Lattice parameters (Å, degrees): 4.6957 4.6957 4.6957 90.00 90.00 90.00
Last column: nearest neighbours and their distance in Å.
Sites, in units of the cell vectors:
Zn  0.0000  0.0000  0.0000  6 S 2.35
Ag  0.5000  0.5000  0.5000  12 S 3.32
S  0.0000  0.0000  0.5000  2 Zn 2.35
S  0.0000  0.5000  0.0000  2 Zn 2.35
S  0.5000  0.0000  0.0000  2 Zn 2.35

Output
energy above the most stable polymorph in this dataset = 0.000 eV/atom
E = -2.715 eV/atom
E_form (uncorrected) = 56.5 kJ/mol of atoms